Ac2Zn6Pd9, optimized geometry, DFT PBE; E_tot = -72.427 eV for the cell shown; magnetic moment = 0.00 μB per cell; energy relative to the elements = -0.58 eV per atom; symmetry = P6/mmm, No. 191
1.0
-4.1256 -3.3448 2.0935
3.3921 -1.9221 -4.1701
7.5936 -4.2686 8.1443
Zn Ac Pd
6 2 9
Direct
0.3333 0.6667 0.0000
0.3333 0.6667 0.6651
0.3333 0.6667 0.3349
0.6667 0.3333 0.3349
0.6667 0.3333 0.0000
0.6667 0.3333 0.6651
0.0000 0.0000 0.6974
0.0000 0.0000 0.3026
0.5000 0.0000 0.1682
0.5000 0.5000 0.1682
0.5000 0.5000 0.8318
0.0000 0.5000 0.8318
0.5000 0.0000 0.5000
0.5000 0.5000 0.5000
0.5000 0.0000 0.8318
0.0000 0.5000 0.1682
0.0000 0.5000 0.5000

LiAc3Ho3S8, optimized geometry, DFT PBE; formation energy without anion corrections = -1.97 eV/atom; E_tot = -90.511 eV for the cell shown; magnetic moment = 0.00 μB per cell; symmetry = R-3m, No. 166
1.0
-6.2571 -2.5750 4.3046
7.2836 -3.1100 1.2571
-1.5301 7.7225 2.3950
S Ac Ho Li
8 3 3 1
Direct
0.2614 0.0196 0.2778
0.7581 0.0196 0.2778
0.2419 0.9804 0.7222
0.7398 0.4797 0.7194
0.7386 0.9804 0.7222
0.2602 0.5203 0.2806
0.2417 0.4835 0.7222
0.7583 0.5165 0.2778
0.0000 0.0000 0.0000
0.0000 0.5000 0.0000
0.5000 0.5000 0.0000
0.0000 0.5000 0.5000
0.5000 0.0000 0.5000
0.5000 0.5000 0.5000
0.0000 0.0000 0.5000

RuC3, optimized geometry, DFT PBE; E_tot = -28.947 eV for the cell shown; magnetic moment = 0.00 μB per cell; offset from the most stable computed form = 1094 meV/atom; energy relative to the elements = 2.00 eV per atom; symmetry = Cmmm, No. 65
1.0
3.1931 0.0047 0.0000
-2.2706 2.2450 0.0000
0.0000 0.0000 5.5397
C Ru
3 1
Direct
0.0000 0.0000 0.9307
0.0000 0.0000 0.5693
0.5000 0.5000 0.7500
0.5000 0.5000 0.2500

Tb6ErTe8, optimized geometry, DFT PBE; formation energy without anion corrections = -1.38 eV/atom; E_tot = -78.116 eV for the cell shown; magnetic moment = 0.00 μB per cell; symmetry = Fm-3m, No. 225
1.0
-3.3903 -7.0660 3.7911
4.2042 -3.8503 6.5799
-3.1829 0.5031 8.0877
Te Tb Er
8 6 1
Direct
0.7500 0.7500 0.7500
0.2534 0.7466 0.2534
0.2534 0.2534 0.7466
0.2534 0.7466 0.7466
0.7466 0.2534 0.7466
0.7466 0.7466 0.2534
0.7466 0.2534 0.2534
0.2500 0.2500 0.2500
0.5000 0.0000 0.0000
0.5000 0.0000 0.5000
0.5000 0.5000 0.0000
0.0000 0.0000 0.5000
0.0000 0.5000 0.5000
0.0000 0.5000 0.0000
0.0000 0.0000 0.0000

TiCoAg3, optimized geometry, DFT PBE; E_tot = -15.854 eV for the cell shown; magnetic moment = 3.67 μB per cell; offset from the most stable computed form = 396 meV/atom; energy relative to the elements = 1.54 eV per atom; symmetry = Pm-3m, No. 221
1.0
-2.2162 1.2592 -4.2354
-4.1063 -2.3368 1.4539
-1.6318 4.1701 2.0937
Ti Co Ag
1 1 3
Direct
0.0000 0.0000 0.0000
0.5000 0.5000 0.5000
0.0000 0.5000 0.0000
0.0000 0.0000 0.5000
0.5000 0.0000 0.0000

OsRu2, optimized geometry, DFT PBE; E_tot = -56.967 eV for the cell shown; magnetic moment = 0.00 μB per cell; offset from the most stable computed form = 442 meV/atom; energy relative to the elements = 0.43 eV per atom; symmetry = I4/mcm, No. 140
1.0
-3.0219 3.0219 2.4862
3.0219 -3.0219 2.4862
3.0219 3.0219 -2.4862
Ru Os
4 2
Direct
0.6423 0.8577 0.5000
0.3577 0.1423 0.5000
0.1423 0.6423 0.7845
0.8577 0.3577 0.2155
0.7500 0.7500 0.0000
0.2500 0.2500 0.0000